1.
This record from Alexandria describes a relaxed structure of Ca3Si. The functional is GGA-PBE.

Unit cell a=10.2069 b=10.2069 c=10.2069 alpha=152.43 beta=152.43 gamma=39.38
Sites, in units of the cell vectors:
Ca: 0.0000 0.5000 0.5000
Ca: 0.1226 0.1226 0.0000
Ca: 0.2500 0.7500 0.5000
Ca: 0.5000 0.0000 0.5000
Ca: 0.7500 0.2500 0.5000
Ca: 0.8774 0.8774 0.0000
Si: 0.3697 0.3697 0.0000
Si: 0.6303 0.6303 0.0000

E ... -2.965 eV per atom
E above lowest polymorph ... 0.72 eV per formula unit

=====

2.
This record from Alexandria describes a relaxed structure of NaCaMn2Br8. The functional is GGA-PBE.

Unit cell a=7.0523 b=7.0523 c=9.6251 alpha=90.00 beta=90.00 gamma=120.00
Sites, in units of the cell vectors:
Na: 0.0000 0.0000 0.0000
Ca: 0.0000 0.0000 0.5000
Mn: 0.3333 0.6667 0.7515
Mn: 0.6667 0.3333 0.2485
Br: 0.0003 0.3230 0.6886
Br: 0.9997 0.6770 0.3114
Br: 0.3227 0.9997 0.6886
Br: 0.3230 0.3227 0.3114
Br: 0.3333 0.6667 0.9979
Br: 0.6667 0.3333 0.0021
Br: 0.6773 0.0003 0.3114
Br: 0.6770 0.6773 0.6886

E ... -3.993 eV per atom

=====

3.
This record from Alexandria describes a relaxed structure of TaOsS2. The functional is GGA-PBE.

Unit cell a=8.1501 b=8.1501 c=8.1501 alpha=21.72 beta=21.72 gamma=21.72
Sites, in units of the cell vectors:
Ta: 0.0000 0.0000 0.0000
Os: 0.5000 0.5000 0.5000
S: 0.4053 0.4053 0.4053
S: 0.5947 0.5947 0.5947

E ... -8.054 eV per atom
E above lowest polymorph ... 0.00 eV per formula unit

=====

4.
This record from Alexandria describes a relaxed structure of BaSrCu2. The functional is GGA-PBE.

Unit cell a=7.0860 b=7.0860 c=7.0860 alpha=108.13 beta=108.13 gamma=112.19
Sites, in units of the cell vectors:
Ba: 0.0000 0.0000 0.0000
Ba: 0.7500 0.2500 0.5000
Sr: 0.2500 0.7500 0.5000
Sr: 0.5000 0.5000 0.0000
Cu: 0.1375 0.6250 0.0125
Cu: 0.3750 0.3875 0.5125
Cu: 0.6125 0.1250 0.9875
Cu: 0.8750 0.8625 0.4875

Formation energy ... 289 meV/atom
E ... -2.661 eV per atom
E above lowest polymorph ... 1.34 eV per formula unit

=====

5.
This record from Alexandria describes a relaxed structure of Ga2AgOs. The functional is GGA-PBE.

Unit cell a=9.1159 b=9.1159 c=9.1159 alpha=154.28 beta=154.28 gamma=36.69
Sites, in units of the cell vectors:
Ga: 0.0829 0.6250 0.9579
Ga: 0.3750 0.3329 0.4579
Ga: 0.6671 0.1250 0.0421
Ga: 0.8750 0.9171 0.5421
Ag: 0.2500 0.7500 0.5000
Ag: 0.5000 0.5000 0.0000
Os: 0.0000 0.0000 0.0000
Os: 0.7500 0.2500 0.5000

Formation energy ... 483 meV/atom
E ... -4.550 eV per atom
E above lowest polymorph ... 1.68 eV per formula unit

=====

6.
This record from Alexandria describes a relaxed structure of Ac3Sm3DyS8. The functional is GGA-PBE.

Unit cell a=8.3674 b=8.3674 c=8.3674 alpha=58.41 beta=58.41 gamma=58.41
Sites, in units of the cell vectors:
Ac: 0.0000 0.5000 0.5000
Ac: 0.5000 0.0000 0.5000
Ac: 0.5000 0.5000 0.0000
Sm: 0.0000 0.0000 0.5000
Sm: 0.0000 0.5000 0.0000
Sm: 0.5000 0.0000 0.0000
Dy: 0.5000 0.5000 0.5000
S: 0.2432 0.2432 0.2432
S: 0.2480 0.7392 0.7392
S: 0.2608 0.2608 0.7520
S: 0.2608 0.7520 0.2608
S: 0.7392 0.2480 0.7392
S: 0.7392 0.7392 0.2480
S: 0.7520 0.2608 0.2608
S: 0.7568 0.7568 0.7568

E ... -6.317 eV per atom

=====

7.
This record from Alexandria describes a relaxed structure of Cs6AuI2O. The functional is GGA-PBE.

Unit cell a=8.7317 b=8.7317 c=8.9221 alpha=90.00 beta=90.00 gamma=120.00
Sites, in units of the cell vectors:
Cs: 0.1550 0.3099 0.1969
Cs: 0.1550 0.8450 0.1969
Cs: 0.3099 0.1550 0.8031
Cs: 0.6901 0.8450 0.1969
Cs: 0.8450 0.1550 0.8031
Cs: 0.8450 0.6901 0.8031
Au: 0.0000 0.0000 0.5000
I: 0.3333 0.6667 0.8744
I: 0.6667 0.3333 0.1256
O: 0.0000 0.0000 0.0000

E ... -2.586 eV per atom

=====

8.
This record from Alexandria describes a relaxed structure of Pr8Pt3SI4. The functional is GGA-PBE.

Unit cell a=9.3925 b=9.3925 c=9.3925 alpha=54.61 beta=54.61 gamma=54.61
Sites, in units of the cell vectors:
Pr: 0.2280 0.2280 0.2280
Pr: 0.2281 0.7326 0.7326
Pr: 0.2674 0.2674 0.7719
Pr: 0.2674 0.7719 0.2674
Pr: 0.7326 0.2281 0.7326
Pr: 0.7326 0.7326 0.2281
Pr: 0.7719 0.2674 0.2674
Pr: 0.7720 0.7720 0.7720
Pt: 0.0000 0.0000 0.5000
Pt: 0.0000 0.5000 0.0000
Pt: 0.5000 0.0000 0.0000
S: 0.5000 0.5000 0.5000
I: 0.0000 0.0000 0.0000
I: 0.0000 0.5000 0.5000
I: 0.5000 0.0000 0.5000
I: 0.5000 0.5000 0.0000

E ... -5.340 eV per atom

=====

9.
This record from Alexandria describes a relaxed structure of CdCuB3. The functional is GGA-PBE.

Unit cell a=4.0045 b=4.0045 c=4.0045 alpha=90.00 beta=90.00 gamma=90.00
Sites, in units of the cell vectors:
Cd: 0.0000 0.0000 0.0000
Cu: 0.5000 0.5000 0.5000
B: 0.0000 0.5000 0.5000
B: 0.5000 0.0000 0.5000
B: 0.5000 0.5000 0.0000

Formation energy ... 1572 meV/atom
E ... -3.437 eV per atom
E above lowest polymorph ... 0.00 eV per formula unit

=====

10.
This record from Alexandria describes a relaxed structure of CrAsOs. The functional is GGA-PBE.

Unit cell a=2.7982 b=2.7982 c=6.2459 alpha=90.00 beta=90.00 gamma=120.00
Sites, in units of the cell vectors:
Cr: 0.0000 0.0000 0.0000
As: 0.6667 0.3333 0.6776
Os: 0.3333 0.6667 0.3073

Formation energy ... 230 meV/atom
E ... -8.271 eV per atom
E above lowest polymorph ... 0.33 eV per formula unit

=====

11.
This record from Alexandria describes a relaxed structure of Pm3Ho2Sn2. The functional is GGA-PBE.

Unit cell a=6.2210 b=6.2210 c=8.4734 alpha=105.49 beta=105.49 gamma=43.39
Sites, in units of the cell vectors:
Pm: 0.0000 0.0000 0.0000
Pm: 0.1311 0.1311 0.4388
Pm: 0.8689 0.8689 0.5612
Ho: 0.3701 0.3701 0.2236
Ho: 0.6299 0.6299 0.7764
Sn: 0.3219 0.3219 0.8142
Sn: 0.6781 0.6781 0.1858

Formation energy ... -439 meV/atom
E ... -4.927 eV per atom

=====

12.
This record from Alexandria describes a relaxed structure of Pm3DyTh. The functional is GGA-PBE.

Unit cell a=6.2913 b=6.2913 c=11.0776 alpha=90.04 beta=90.04 gamma=128.39
Sites, in units of the cell vectors:
Pm: 0.0006 0.0006 0.3303
Pm: 0.3474 0.6512 0.8044
Pm: 0.3488 0.6526 0.1956
Pm: 0.6512 0.3474 0.8044
Pm: 0.6526 0.3488 0.1956
Pm: 0.9994 0.9994 0.6697
Dy: 0.3438 0.6562 0.5000
Dy: 0.6562 0.3438 0.5000
Th: 0.1364 0.8636 0.0000
Th: 0.8636 0.1364 0.0000

Formation energy ... 196 meV/atom
E ... -5.059 eV per atom
E above lowest polymorph ... 0.00 eV per formula unit

=====

13.
This record from Alexandria describes a relaxed structure of BaFe2Pb. The functional is GGA-PBE.

Unit cell a=5.3292 b=5.3292 c=5.3292 alpha=123.92 beta=110.85 gamma=94.94
Sites, in units of the cell vectors:
Ba: 0.0000 0.0000 0.0000
Fe: 0.3469 0.8469 0.5000
Fe: 0.6531 0.1531 0.5000
Pb: 0.5000 0.5000 0.0000

Formation energy ... 596 meV/atom
E ... -5.044 eV per atom
E above lowest polymorph ... 1.46 eV per formula unit

=====

14.
This record from Alexandria describes a relaxed structure of MoPb2. The functional is GGA-PBE.

Unit cell a=3.3973 b=3.3973 c=6.5297 alpha=90.00 beta=90.00 gamma=90.00
Sites, in units of the cell vectors:
Mo: 0.0000 0.0000 0.0000
Pb: 0.5000 0.5000 0.2628
Pb: 0.5000 0.5000 0.7372

Formation energy ... 618 meV/atom
E ... -5.464 eV per atom
E above lowest polymorph ... 0.66 eV per formula unit

=====

15.
This record from Alexandria describes a relaxed structure of BeSbAs2Se. The functional is GGA-PBE.

Unit cell a=4.5640 b=4.5640 c=4.7783 alpha=90.00 beta=90.00 gamma=90.00
Sites, in units of the cell vectors:
Be: 0.0000 0.0000 0.0000
Sb: 0.5000 0.5000 0.5000
As: 0.0000 0.5000 0.0000
As: 0.5000 0.0000 0.0000
Se: 0.0000 0.0000 0.5000

E ... -3.748 eV per atom
E above lowest polymorph ... 0.00 eV per formula unit

=====

16.
This record from Alexandria describes a relaxed structure of CsHoUS4. The functional is GGA-PBE.

Unit cell a=8.5280 b=8.5280 c=8.5280 alpha=119.39 beta=119.03 gamma=91.38
Sites, in units of the cell vectors:
Cs: 0.3755 0.1255 0.2500
Cs: 0.6245 0.8745 0.7500
Ho: 0.0000 0.5000 0.5000
Ho: 0.5000 0.5000 0.0000
U: 0.0000 0.0000 0.5000
U: 0.0000 0.5000 0.0000
S: 0.1759 0.7303 0.4456
S: 0.2153 0.2697 0.9456
S: 0.2251 0.2746 0.5495
S: 0.2251 0.6757 0.9505
S: 0.7749 0.3243 0.0495
S: 0.7749 0.7254 0.4505
S: 0.7847 0.7303 0.0544
S: 0.8241 0.2697 0.5544

E ... -6.279 eV per atom

=====

17.
This record from Alexandria describes a relaxed structure of Li2AsO3F. The functional is GGA-PBE.

Unit cell a=6.0102 b=6.0102 c=6.0102 alpha=58.00 beta=58.00 gamma=58.00
Sites, in units of the cell vectors:
Li: 0.0000 0.0000 0.0000
Li: 0.0000 0.0000 0.5000
Li: 0.0000 0.5000 0.0000
Li: 0.5000 0.0000 0.0000
As: 0.3918 0.3918 0.3918
As: 0.6082 0.6082 0.6082
O: 0.2540 0.2540 0.7443
O: 0.2540 0.7443 0.2540
O: 0.2557 0.7460 0.7460
O: 0.7443 0.2540 0.2540
O: 0.7460 0.2557 0.7460
O: 0.7460 0.7460 0.2557
F: 0.2673 0.2673 0.2673
F: 0.7327 0.7327 0.7327

E ... -5.443 eV per atom

=====

18.
This record from Alexandria describes a relaxed structure of Y4Zr5. The functional is GGA-PBE.

Unit cell a=7.5309 b=7.5309 c=7.5309 alpha=95.63 beta=95.63 gamma=143.50
Sites, in units of the cell vectors:
Y: 0.0000 0.3195 0.3195
Y: 0.0000 0.6805 0.6805
Y: 0.3195 0.0000 0.3195
Y: 0.6805 0.0000 0.6805
Zr: 0.0000 0.0000 0.0000
Zr: 0.3433 0.3433 0.6866
Zr: 0.3433 0.6567 0.0000
Zr: 0.6567 0.3433 0.0000
Zr: 0.6567 0.6567 0.3134

Formation energy ... 104 meV/atom
E ... -7.518 eV per atom
E above lowest polymorph ... 0.00 eV per formula unit

=====

19.
This record from Alexandria describes a relaxed structure of RbGa2NiN. The functional is GGA-PBE.

Unit cell a=4.5171 b=4.5171 c=6.5196 alpha=90.00 beta=90.00 gamma=90.00
Sites, in units of the cell vectors:
Rb: 0.0000 0.0000 0.0000
Ga: 0.0000 0.5000 0.5000
Ga: 0.5000 0.0000 0.5000
Ni: 0.0000 0.0000 0.5000
N: 0.5000 0.5000 0.0000

E ... -3.422 eV per atom

=====

20.
This record from Alexandria describes a relaxed structure of Y3Ga2Si. The functional is GGA-PBE.

Unit cell a=11.7999 b=4.0420 c=11.9347 alpha=90.00 beta=90.00 gamma=90.00
Sites, in units of the cell vectors:
Y: 0.0611 0.2500 0.1236
Y: 0.1163 0.7500 0.5534
Y: 0.2104 0.2500 0.7906
Y: 0.2896 0.7500 0.2906
Y: 0.3837 0.2500 0.0534
Y: 0.4389 0.7500 0.6236
Y: 0.5611 0.2500 0.3764
Y: 0.6163 0.7500 0.9466
Y: 0.7104 0.2500 0.7094
Y: 0.7896 0.7500 0.2094
Y: 0.8837 0.2500 0.4466
Y: 0.9389 0.7500 0.8764
Ga: 0.0173 0.7500 0.3092
Ga: 0.1888 0.7500 0.9916
Ga: 0.3112 0.2500 0.4916
Ga: 0.4827 0.2500 0.8092
Ga: 0.5173 0.7500 0.1908
Ga: 0.6888 0.7500 0.5084
Ga: 0.8112 0.2500 0.0084
Ga: 0.9827 0.2500 0.6908
Si: 0.1316 0.2500 0.3706
Si: 0.3684 0.7500 0.8706
Si: 0.6316 0.2500 0.1294
Si: 0.8684 0.7500 0.6294

E ... -5.808 eV per atom